(1)
Computed, not measured: a relaxed Rb3Li2NpBr9 crystal at the PBE level of DFT.

It has space group P-3m1 (No. 164), with a = 7.8482 Å, b = 7.8482 Å, c = 9.8513 Å, α = 90.00°, β = 90.00° and γ = 120.00°. The asymmetric unit holds Rb at (0.0000, 0.0000, 0.0000), Rb at (0.3333, 0.6667, 0.7162), Li at (0.3333, 0.6667, 0.1100), Np at (0.0000, 0.0000, 0.5000), Br at (0.0000, 0.5000, 0.0000) and Br at (0.1659, 0.3319, 0.3368).

The total DFT energy (no corrections) comes out at -57.652 eV/cell. The calculation puts the calculated volume at 35.03 Å³ per atom. The calculation puts the density of states at the Fermi level at 5.38 states/eV/f.u.

***

(2)
Computed, not measured: a relaxed CsBaPuI6 crystal at the PBE level of DFT.

It has space group P-31c (No. 163), with a = 8.5856 Å, b = 8.5856 Å, c = 16.6026 Å, α = 90.00°, β = 90.00° and γ = 120.00°. The asymmetric unit holds Cs at (0.0000, 0.0000, 0.0000), Ba at (0.3333, 0.6667, 0.2500), Pu at (0.3333, 0.6667, 0.7500) and I at (0.0318, 0.3882, 0.6374).

The total DFT energy (no corrections) comes out at -78.305 eV/cell. The calculation puts the calculated volume at 58.88 Å³ per atom. The calculation puts the density of states at the Fermi level at 11.64 states/eV/f.u.

***

(3)
Computed, not measured: a relaxed Ce7Os2Pt2 crystal at the PBE level of DFT.

It has space group Cmmm (No. 65), with a = 7.752 Å, b = 10.528 Å, c = 6.843 Å, α = 90.00°, β = 90.00° and γ = 90.00°. The asymmetric unit holds Ce at (0.000, 0.000, 0.000), Ce at (0.000, 0.500, 0.297), Ce at (0.250, 0.250, 0.300), Os at (0.161, 0.000, 0.500) and Pt at (0.000, 0.291, 0.000).

The total DFT energy (no corrections) comes out at -158.453 eV/cell. The calculation puts the calculated volume at 25.39 Å³ per atom. Its energy of formation is -286 meV/atom. The calculation puts the density of states at the Fermi level at 25.58 states/eV/f.u. The calculation puts the distance to the lowest polymorph of the same formula at 170 meV/atom.

***

(4)
Computed, not measured: a relaxed Mg3SnPd3 crystal at the PBE level of DFT.

It has space group P2_13 (No. 198), with a = 7.964 Å, b = 7.964 Å, c = 7.964 Å, α = 90.00°, β = 90.00° and γ = 90.00°. The asymmetric unit holds Mg at (0.110, 0.390, 0.610), Mg at (0.153, 0.847, 0.347), Mg at (0.202, 0.202, 0.202), Sn at (0.060, 0.560, 0.940) and Pd at (0.025, 0.204, 0.895).

The total DFT energy (no corrections) comes out at -112.791 eV/cell. The calculation puts the calculated volume at 18.04 Å³ per atom. Its energy of formation is -547 meV/atom. The calculation puts the density of states at the Fermi level at 1.82 states/eV/f.u. The calculation puts the distance to the lowest polymorph of the same formula at 62 meV/atom.

***

(5)
Computed, not measured: a relaxed LaPr5Nd5 crystal at the PBE level of DFT.

It has space group P-1 (No. 2), with a = 7.151 Å, b = 7.158 Å, c = 8.699 Å, α = 76.06°, β = 76.52° and γ = 71.47°. The asymmetric unit holds La at (0.000, 0.000, 0.000), Pr at (0.000, 0.500, 0.000), Pr at (0.304, 0.299, 0.647), Pr at (0.358, 0.765, 0.718), Nd at (0.146, 0.143, 0.354), Nd at (0.228, 0.644, 0.288) and Nd at (0.500, 0.000, 0.000).

The total DFT energy (no corrections) comes out at -51.226 eV/cell. The calculation puts the calculated volume at 36.71 Å³ per atom. Its energy of formation is 131 meV/atom. The calculation puts the density of states at the Fermi level at 16.41 states/eV/f.u. The calculation puts the distance to the lowest polymorph of the same formula at 0 meV/atom.

***

(6)
Computed, not measured: a relaxed KReSN2 crystal at the PBE level of DFT.

It has space group P4/mmm (No. 123), with a = 3.959 Å, b = 3.959 Å, c = 4.897 Å, α = 90.00°, β = 90.00° and γ = 90.00°. The asymmetric unit holds K at (0.000, 0.000, 0.000), Re at (0.500, 0.500, 0.500), S at (0.500, 0.500, 0.000) and N at (0.000, 0.500, 0.500).

The total DFT energy (no corrections) comes out at -33.833 eV/cell. The calculation puts the calculated volume at 15.35 Å³ per atom. The calculation puts the density of states at the Fermi level at 1.23 states/eV/f.u. The calculation puts the distance to the lowest polymorph of the same formula at 0 meV/atom.

***

(7)
Computed, not measured: a relaxed BiN crystal at the PBE level of DFT.

It has space group P2/c (No. 13), with a = 3.654 Å, b = 5.309 Å, c = 5.770 Å, α = 90.00°, β = 129.21° and γ = 90.00°. The asymmetric unit holds Bi at (0.000, 0.205, 0.250) and N at (0.500, 0.045, 0.750).

The total DFT energy (no corrections) comes out at -22.001 eV/cell. The calculation puts the calculated volume at 21.68 Å³ per atom. The calculation puts the density of states at the Fermi level at 0.25 states/eV/f.u.

***

(8)
Computed, not measured: a relaxed Ho5BiRu2 crystal at the PBE level of DFT.

It has space group I4/mcm (No. 140), with a = 7.720 Å, b = 7.720 Å, c = 13.790 Å, α = 90.00°, β = 90.00° and γ = 90.00°. The asymmetric unit holds Ho at (0.000, 0.000, 0.000), Ho at (0.156, 0.344, 0.130), Bi at (0.000, 0.000, 0.250) and Ru at (0.142, 0.358, 0.500).

The total DFT energy (no corrections) comes out at -197.292 eV/cell. The calculation puts the calculated volume at 25.68 Å³ per atom. Its energy of formation is -500 meV/atom. The calculation puts the density of states at the Fermi level at 6.63 states/eV/f.u.

***

(9)
Computed, not measured: a relaxed ZrInAgIr crystal at the PBE level of DFT.

It has space group F-43m (No. 216), with a = 6.675 Å, b = 6.675 Å, c = 6.675 Å, α = 90.00°, β = 90.00° and γ = 90.00°. The asymmetric unit holds Zr at (0.000, 0.000, 0.000), In at (0.000, 0.000, 0.500), Ag at (0.250, 0.250, 0.250) and Ir at (0.250, 0.250, 0.750).

The total DFT energy (no corrections) comes out at -97.385 eV/cell. The calculation puts the calculated volume at 18.59 Å³ per atom. Its energy of formation is -337 meV/atom. The calculation puts the density of states at the Fermi level at 3.88 states/eV/f.u.

***

(10)
Computed, not measured: a relaxed CsHgGeI2 crystal at the PBE level of DFT.

It has space group P4/mmm (No. 123), with a = 6.142 Å, b = 6.142 Å, c = 5.550 Å, α = 90.00°, β = 90.00° and γ = 90.00°. The asymmetric unit holds Cs at (0.000, 0.000, 0.000), Hg at (0.500, 0.500, 0.000), Ge at (0.500, 0.500, 0.500) and I at (0.000, 0.500, 0.500).

The total DFT energy (no corrections) comes out at -11.778 eV/cell. The calculation puts the calculated volume at 41.87 Å³ per atom. The calculation puts the density of states at the Fermi level at 3.10 states/eV/f.u.

***

> What is the total DFT energy (no corrections) in the third record?

-158.453 eV/cell

***

Repeat the third record exactly.
Computed, not measured: a relaxed Ce7Os2Pt2 crystal at the PBE level of DFT.

It has space group Cmmm (No. 65), with a = 7.752 Å, b = 10.528 Å, c = 6.843 Å, α = 90.00°, β = 90.00° and γ = 90.00°. The asymmetric unit holds Ce at (0.000, 0.000, 0.000), Ce at (0.000, 0.500, 0.297), Ce at (0.250, 0.250, 0.300), Os at (0.161, 0.000, 0.500) and Pt at (0.000, 0.291, 0.000).

The total DFT energy (no corrections) comes out at -158.453 eV/cell. The calculation puts the calculated volume at 25.39 Å³ per atom. Its energy of formation is -286 meV/atom. The calculation puts the density of states at the Fermi level at 25.58 states/eV/f.u. The calculation puts the distance to the lowest polymorph of the same formula at 170 meV/atom.

***

> Look up the total DFT energy (no corrections) of the sixth one.

-33.833 eV/cell

***

> Which of these has the lowest calculated volume?

KReSN2